Material: Li2Zr2Rh3
Method: DFT, PBE-GGA
State: optimized geometry

Lattice parameters (Å, degrees): 3.3295 23.1232 3.1728 90.00 90.00 90.00
Space group Cmmm (No. 65)
One atom of each set of equivalent atoms:
Li1 0.0000 0.2043 0.0000 (multiplicity 4)
Zr1 0.0000 0.0749 0.0000 (multiplicity 4)
Rh1 0.0000 0.3621 0.5000 (multiplicity 4)
Rh2 0.0000 0.5000 0.5000 (multiplicity 2)

Calculated values
Magnetization (μB/f.u.): 0.00
Density of states at the Fermi level (states/eV/cell): 7.5
Electronic total energy (eV for the cell shown): -93.44
Calculated formation energy (eV per atom): -0.5345
V (Å³/f.u.): 122.1